Record 1
The following is a meta-GGA SCAN calculation of Mn2CoCu at its PBEsol-relaxed geometry, from Alexandria via LeMat-Bulk.

Output
* calculated formation energy: -0.087 eV per atom
* E: -17.340 eV per atom
* E above lowest polymorph: 0.11 eV/f.u.

Lattice parameters (Å, degrees): 3.9783 3.9783 3.9783 60.00 60.00 60.00
Sites, in units of the cell vectors:
Mn  0.0000  0.0000  0.0000
Mn  0.2500  0.2500  0.2500
Co  0.7500  0.7500  0.7500
Cu  0.5000  0.5000  0.5000



Record 2
The following is a meta-GGA SCAN calculation of Mn2CoCu at its PBEsol-relaxed geometry, from Alexandria via LeMat-Bulk.

Output
* calculated formation energy: 0.096 eV per atom
* E: -17.158 eV per atom
* E above lowest polymorph: 0.84 eV/f.u.

Lattice parameters (Å, degrees): 2.4771 3.9726 4.3469 90.00 90.00 90.00
Sites, in units of the cell vectors:
Mn  0.0000  0.0000  0.0000
Mn  0.0000  0.5000  0.3077
Co  0.5000  0.5000  0.8154
Cu  0.5000  0.0000  0.5015



Record 3
The following is a meta-GGA SCAN calculation of Mn2CoCu at its PBEsol-relaxed geometry, from Alexandria via LeMat-Bulk.

Output
* calculated formation energy: -0.115 eV per atom
* E: -17.368 eV per atom
* E above lowest polymorph: 0.00 eV/f.u.

Lattice parameters (Å, degrees): 4.3504 4.3504 4.3504 132.07 132.07 70.12
Sites, in units of the cell vectors:
Mn  0.0000  0.0000  0.0000
Mn  0.7500  0.2500  0.5000
Co  0.5000  0.5000  0.0000
Cu  0.2500  0.7500  0.5000



Record 4
The following is a meta-GGA SCAN calculation of Mn3Co3Cu2O16 at its PBEsol-relaxed geometry, from Alexandria via LeMat-Bulk.

Output
* E: -11.100 eV per atom
* formation energy without anion corrections: -1.23 eV/atom

Lattice parameters (Å, degrees): 5.5361 5.5361 8.7880 91.45 91.45 60.22
Sites, in units of the cell vectors:
Mn  0.0000  0.0000  0.0000
Mn  0.3258  0.8277  0.4930
Mn  0.8277  0.3258  0.4930
Co  0.3313  0.3313  0.4903
Co  0.5029  0.9928  0.9885
Co  0.9928  0.5029  0.9885
Cu  0.4917  0.4917  0.2123
Cu  0.8278  0.8278  0.7133
O  0.9996  0.9996  0.5969
O  0.0018  0.4868  0.5948
O  0.1195  0.6825  0.8667
O  0.1595  0.1595  0.3799
O  0.1616  0.1616  0.8806
O  0.1937  0.6392  0.3679
O  0.3227  0.3227  0.0907
O  0.3272  0.8351  0.0933
O  0.4868  0.0018  0.5948
O  0.4989  0.4989  0.6047
O  0.6392  0.1937  0.3679
O  0.6397  0.6397  0.3652
O  0.6770  0.6770  0.8700
O  0.6825  0.1195  0.8667
O  0.8331  0.8331  0.1027
O  0.8351  0.3272  0.0933



Record 5
The following is a meta-GGA SCAN calculation of RbMn2CoCu at its PBEsol-relaxed geometry, from Alexandria via LeMat-Bulk.

Output
* calculated formation energy: 1.085 eV per atom
* E: -16.865 eV per atom

Lattice parameters (Å, degrees): 4.6896 4.6896 5.5438 90.00 90.00 90.00
Sites, in units of the cell vectors:
Rb  0.0000  0.0000  0.0000
Mn  0.0000  0.5000  0.5000
Mn  0.5000  0.0000  0.5000
Co  0.5000  0.5000  0.0000
Cu  0.0000  0.0000  0.5000



Record 6
The following is a meta-GGA SCAN calculation of MnCoCu4Sn2S8 at its PBEsol-relaxed geometry, from Alexandria via LeMat-Bulk.

Output
* E: -15.830 eV per atom
* formation energy without anion corrections: -0.50 eV/atom

Lattice parameters (Å, degrees): 5.3383 6.5549 9.9932 90.24 105.49 113.98
Sites, in units of the cell vectors:
Mn  0.0000  0.0000  0.0000
Co  0.5008  0.5037  0.4990
Cu  0.2434  0.7475  0.7441
Cu  0.3716  0.6241  0.1282
Cu  0.7559  0.2546  0.2550
Cu  0.8770  0.1288  0.6208
Sn  0.1308  0.8773  0.3784
Sn  0.6179  0.3755  0.8705
S  0.0906  0.6952  0.9382
S  0.1976  0.5438  0.3135
S  0.2941  0.4435  0.6683
S  0.4420  0.3178  0.0761
S  0.5880  0.2179  0.4427
S  0.6812  0.0451  0.8011
S  0.7896  0.9410  0.1830
S  0.9137  0.8056  0.5719